The following is a DFT calculation (GGA-PBE) of an optimized crystal structure of Ca2YAg2.

Calculated values
For the energy above the most stable polymorph in this dataset, the calculation gives 0.00 eV per formula unit. Its density of states at the Fermi level is 0.458 states/eV/atom.

a b c (Å): 7.9692 7.9692 4.4218
angles (deg): 90.00 90.00 90.00
Last column: nearest neighbours and their distance in Å.
Element x y z (fractional)
1 Y 0.0000 0.0000 0.0000  4 Ag 3.13
2 Y 0.5000 0.5000 0.0000  4 Ag 3.13
3 Ca 0.1674 0.6674 0.5000  6 Ag 3.18-3.25
4 Ca 0.6674 0.8326 0.5000  6 Ag 3.18-3.25
5 Ca 0.8326 0.3326 0.5000  6 Ag 3.18-3.25
6 Ca 0.3326 0.1674 0.5000  6 Ag 3.18-3.25
7 Ag 0.3706 0.8706 0.0000  1 Ag 2.92, 2 Y 3.13, 6 Ca 3.18-3.25
8 Ag 0.8706 0.6294 0.0000  1 Ag 2.92, 2 Y 3.13, 6 Ca 3.18-3.25
9 Ag 0.6294 0.1294 0.0000  1 Ag 2.92, 2 Y 3.13, 6 Ca 3.18-3.25
10 Ag 0.1294 0.3706 0.0000  1 Ag 2.92, 2 Y 3.13, 6 Ca 3.18-3.25